This record from Alexandria via LeMat-Bulk describes a geometry-optimized Ti3ZnH structure. The functional is PBE-GGA.

Computed properties:
Total energy = -5.86 eV per atom
Energy above the most stable polymorph in this dataset = 63 meV per atom
DOS(E_F) = 9.7 states/eV per cell
Space-group type = No. 3
Total moment = 0.0 μB per formula unit

a b c (Å): 6.0338 4.7766 4.7720
angles (deg): 77.31 90.00 90.00
Positions (direct):
Ti 0.8443 0.3230 0.2711
Ti 0.1028 0.8099 0.2649
Ti 0.3583 0.3234 0.2685
Ti 0.8443 0.8308 0.7672
Ti 0.3583 0.8305 0.7698
Ti 0.1028 0.3439 0.7734
H 0.1039 0.0769 0.5192
H 0.9215 0.0769 0.0192
Zn 0.5946 0.8153 0.2774
Zn 0.5946 0.3388 0.7610



This record from Alexandria via LeMat-Bulk describes a geometry-optimized Ti3ZnH structure. The functional is PBE-GGA.

Computed properties:
Total energy = -5.86 eV per atom
Energy above the most stable polymorph in this dataset = 62 meV per atom
DOS(E_F) = 6.3 states/eV per cell
Space-group type = No. 25
Total moment = 0.0 μB per formula unit

a b c (Å): 6.0027 2.9551 7.6248
angles (deg): 90.00 90.00 90.00
Positions (direct):
H 0.0825 0.8785 0.4214
H 0.0828 0.3784 0.8128
Ti 0.0825 0.3785 0.5637
Ti 0.0825 0.3786 0.0667
Ti 0.8261 0.8786 0.8084
Ti 0.3431 0.8786 0.2993
Ti 0.8219 0.8786 0.2993
Ti 0.3389 0.8787 0.8084
Zn 0.5824 0.3789 0.5574
Zn 0.5824 0.3788 0.0542



This record from Alexandria via LeMat-Bulk describes a geometry-optimized Ti3ZnH structure. The functional is PBE-GGA.

Computed properties:
Total energy = -5.78 eV per atom
Energy above the most stable polymorph in this dataset = 148 meV per atom
DOS(E_F) = 13.7 states/eV per cell
Space-group type = No. 63
Total moment = 0.0 μB per formula unit

a b c (Å): 5.3395 5.3395 4.9591
angles (deg): 90.00 90.00 77.94
Positions (direct):
H 0.2157 0.7843 0.7500
H 0.7843 0.2157 0.2500
Ti 0.4513 0.1480 0.2500
Ti 0.1480 0.4513 0.7500
Ti 0.0000 0.0000 0.0000
Ti 0.0000 0.0000 0.5000
Ti 0.5487 0.8520 0.7500
Ti 0.8520 0.5487 0.2500
Zn 0.6522 0.3478 0.7500
Zn 0.3478 0.6522 0.2500



This record from Alexandria via LeMat-Bulk describes a geometry-optimized Ti3ZnH structure. The functional is PBE-GGA.

Computed properties:
Total energy = -5.79 eV per atom
Energy above the most stable polymorph in this dataset = 132 meV per atom
DOS(E_F) = 5.8 states/eV per cell
Space-group type = No. 167
Total moment = 0.0 μB per formula unit

a b c (Å): 5.1200 5.1200 5.1200
angles (deg): 90.76 90.76 90.76
Positions (direct):
H 0.7500 0.7500 0.7500
H 0.2500 0.2500 0.2500
Ti 0.7500 0.0008 0.4992
Ti 0.9992 0.5008 0.2500
Ti 0.5008 0.2500 0.9992
Ti 0.4992 0.7500 0.0008
Ti 0.0008 0.4992 0.7500
Ti 0.2500 0.9992 0.5008
Zn 0.5000 0.5000 0.5000
Zn 0.0000 0.0000 0.0000